[1]
Rb2LiSnBr6: optimized geometry, PBE.

uncorrected formation energy: -1264 meV per atom
energy above the most stable polymorph in this dataset: 18 meV/atom
raw total energy: -3.053 eV/atom

CIF file:
```
data_Rb2LiSnBr6
_chemical_formula_sum 'Rb8 Li4 Sn4 Br24'
_symmetry_space_group_name_H-M 'F m -3 m'
_symmetry_Int_Tables_number 225
_symmetry_space_group_name_Hall '-F 4 2 3'
_cell_length_a 11.0563
_cell_length_b 11.0563
_cell_length_c 11.0563
_cell_angle_alpha 90.00
_cell_angle_beta 90.00
_cell_angle_gamma 90.00
loop_
_atom_site_label
_atom_site_type_symbol
_atom_site_fract_x
_atom_site_fract_y
_atom_site_fract_z
Rb1 Rb 0.2500 0.2500 0.2500
Li1 Li 0.0000 0.0000 0.0000
Sn1 Sn 0.0000 0.0000 0.5000
Br1 Br 0.0000 0.0000 0.2477
```


[2]
Os3Se: optimized geometry, PBE.

uncorrected formation energy: 669 meV per atom
energy above the most stable polymorph in this dataset: 137 meV/atom
raw total energy: -8.624 eV/atom

CIF file:
```
data_Os3Se
_chemical_formula_sum 'Os12 Se4'
_symmetry_space_group_name_H-M 'P n m a'
_symmetry_Int_Tables_number 62
_cell_length_a 5.3026
_cell_length_b 8.4352
_cell_length_c 5.3584
_cell_angle_alpha 90.00
_cell_angle_beta 90.00
_cell_angle_gamma 90.00
loop_
_symmetry_equiv_pos_as_xyz
'x,y,z'
'-x,-y,-z'
'-x+1/2,-y,z+1/2'
'x+1/2,y,-z+1/2'
'x+1/2,-y+1/2,-z+1/2'
'-x+1/2,y+1/2,z+1/2'
'-x,y+1/2,-z'
'x,-y+1/2,z'
loop_
_atom_site_label
_atom_site_type_symbol
_atom_site_fract_x
_atom_site_fract_y
_atom_site_fract_z
Os1 Os 0.0349 0.2500 0.0001
Os2 Os 0.1853 0.0267 0.3247
Se1 Se 0.0109 0.7500 0.4500
```


[3]
KBa2Ni: optimized geometry, PBE.

formation energy: 0.2192 eV per atom
energy above the most stable polymorph in this dataset: 181 meV/atom
raw total energy: -2.462 eV/atom

CIF file:
```
data_KBa2Ni
_chemical_formula_sum 'K2 Ba4 Ni2'
_symmetry_space_group_name_H-M 'C 1 m 1'
_symmetry_Int_Tables_number 8
_cell_length_a 13.9706
_cell_length_b 4.2419
_cell_length_c 7.6547
_cell_angle_alpha 90.00
_cell_angle_beta 119.46
_cell_angle_gamma 90.00
loop_
_symmetry_equiv_pos_as_xyz
'x,y,z'
'x,-y,z'
'x+1/2,y+1/2,z'
'x+1/2,-y+1/2,z'
loop_
_atom_site_label
_atom_site_type_symbol
_atom_site_fract_x
_atom_site_fract_y
_atom_site_fract_z
K1 K 0.0000 0.0000 0.0000
Ba1 Ba 0.1785 0.0000 0.7005
Ba2 Ba 0.3429 0.0000 0.3195
Ni1 Ni 0.2215 0.5000 0.0073
```


[4]
YScP2S: optimized geometry, PBE.

uncorrected formation energy: -12 meV per atom
energy above the most stable polymorph in this dataset: 570 meV/atom
raw total energy: -5.560 eV/atom

CIF file:
```
data_YScP2S
_chemical_formula_sum 'Y1 Sc1 P2 S1'
_symmetry_space_group_name_H-M 'P 4/m m m'
_symmetry_Int_Tables_number 123
_symmetry_space_group_name_Hall '-P 4 2'
_cell_length_a 5.1415
_cell_length_b 5.1415
_cell_length_c 5.0850
_cell_angle_alpha 90.00
_cell_angle_beta 90.00
_cell_angle_gamma 90.00
loop_
_atom_site_label
_atom_site_type_symbol
_atom_site_fract_x
_atom_site_fract_y
_atom_site_fract_z
Y1 Y 0.0000 0.0000 0.0000
Sc1 Sc 0.5000 0.5000 0.5000
P1 P 0.0000 0.5000 0.0000
S1 S 0.0000 0.0000 0.5000
```


[5]
GdErPtAu: optimized geometry, PBE.

formation energy: -1.0226 eV per atom
raw total energy: -8.013 eV/atom

CIF file:
```
data_GdErPtAu
_chemical_formula_sum 'Gd4 Er4 Pt4 Au4'
_symmetry_space_group_name_H-M 'F -4 3 m'
_symmetry_Int_Tables_number 216
_symmetry_space_group_name_Hall 'F -4 2 3'
_cell_length_a 7.0947
_cell_length_b 7.0947
_cell_length_c 7.0947
_cell_angle_alpha 90.00
_cell_angle_beta 90.00
_cell_angle_gamma 90.00
loop_
_atom_site_label
_atom_site_type_symbol
_atom_site_fract_x
_atom_site_fract_y
_atom_site_fract_z
Gd1 Gd 0.0000 0.0000 0.0000
Er1 Er 0.0000 0.0000 0.5000
Pt1 Pt 0.2500 0.2500 0.7500
Au1 Au 0.2500 0.2500 0.2500
```


[6]
Pu4TcGe: optimized geometry, PBE.

formation energy: 0.0761 eV per atom
energy above the most stable polymorph in this dataset: 100 meV/atom
raw total energy: -11.976 eV/atom

CIF file:
```
data_Pu4TcGe
_chemical_formula_sum 'Pu8 Tc2 Ge2'
_symmetry_space_group_name_H-M 'C 1 2/m 1'
_symmetry_Int_Tables_number 12
_cell_length_a 10.2136
_cell_length_b 3.4113
_cell_length_c 7.2553
_cell_angle_alpha 90.00
_cell_angle_beta 119.34
_cell_angle_gamma 90.00
loop_
_symmetry_equiv_pos_as_xyz
'x,y,z'
'-x,-y,-z'
'-x,y,-z'
'x,-y,z'
'x+1/2,y+1/2,z'
'-x+1/2,-y+1/2,-z'
'-x+1/2,y+1/2,-z'
'x+1/2,-y+1/2,z'
loop_
_atom_site_label
_atom_site_type_symbol
_atom_site_fract_x
_atom_site_fract_y
_atom_site_fract_z
Pu1 Pu 0.1722 0.0000 0.3876
Pu2 Pu 0.2324 0.5000 0.8732
Tc1 Tc 0.0000 0.5000 0.5000
Ge1 Ge 0.0000 0.5000 0.0000
```


[7]
KSi2Pb: optimized geometry, PBE.

uncorrected formation energy: 403 meV per atom
raw total energy: -3.510 eV/atom

CIF file:
```
data_KSi2Pb
_chemical_formula_sum 'K4 Si8 Pb4'
_symmetry_space_group_name_H-M 'I 41/a m d'
_symmetry_Int_Tables_number 141
_cell_length_a 5.0442
_cell_length_b 5.0442
_cell_length_c 19.9650
_cell_angle_alpha 90.00
_cell_angle_beta 90.00
_cell_angle_gamma 90.00
loop_
_symmetry_equiv_pos_as_xyz
'x,y,z'
'-x,-y,-z'
'-y+1/4,x+3/4,z+1/4'
'y+1/4,-x+3/4,-z+1/4'
'-x+1/2,-y,z+1/2'
'x+1/2,y,-z+1/2'
'y+1/4,-x+1/4,z+3/4'
'-y+1/4,x+1/4,-z+3/4'
'x,-y,-z'
'-x,y,z'
'-y+1/4,-x+1/4,-z+3/4'
'y+1/4,x+1/4,z+3/4'
'-x+1/2,y,-z+1/2'
'x+1/2,-y,z+1/2'
'y+1/4,x+3/4,-z+1/4'
'-y+1/4,-x+3/4,z+1/4'
'x+1/2,y+1/2,z+1/2'
'-x+1/2,-y+1/2,-z+1/2'
'-y+3/4,x+1/4,z+3/4'
'y+3/4,-x+1/4,-z+3/4'
'-x,-y+1/2,z'
'x,y+1/2,-z'
'y+3/4,-x+3/4,z+1/4'
'-y+3/4,x+3/4,-z+1/4'
'x+1/2,-y+1/2,-z+1/2'
'-x+1/2,y+1/2,z+1/2'
'-y+3/4,-x+3/4,-z+1/4'
'y+3/4,x+3/4,z+1/4'
'-x,y+1/2,-z'
'x,-y+1/2,z'
'y+3/4,x+1/4,-z+3/4'
'-y+3/4,-x+1/4,z+3/4'
loop_
_atom_site_label
_atom_site_type_symbol
_atom_site_fract_x
_atom_site_fract_y
_atom_site_fract_z
K1 K 0.0000 0.2500 0.3750
Si1 Si 0.0000 0.0000 0.0000
Pb1 Pb 0.0000 0.2500 0.8750
```


[8]
Ac5PaN8: optimized geometry, PBE.

uncorrected formation energy: -926 meV per atom
raw total energy: -7.829 eV/atom

CIF file:
```
data_Ac5PaN8
_chemical_formula_sum 'Ac10 Pa2 N16'
_symmetry_space_group_name_H-M 'I -4'
_symmetry_Int_Tables_number 82
_cell_length_a 7.9434
_cell_length_b 7.9434
_cell_length_c 7.7373
_cell_angle_alpha 90.00
_cell_angle_beta 90.00
_cell_angle_gamma 90.00
loop_
_symmetry_equiv_pos_as_xyz
'x,y,z'
'y,-x,-z'
'-x,-y,z'
'-y,x,-z'
'x+1/2,y+1/2,z+1/2'
'y+1/2,-x+1/2,-z+1/2'
'-x+1/2,-y+1/2,z+1/2'
'-y+1/2,x+1/2,-z+1/2'
loop_
_atom_site_label
_atom_site_type_symbol
_atom_site_fract_x
_atom_site_fract_y
_atom_site_fract_z
Ac1 Ac 0.0000 0.0000 0.0000
Ac2 Ac 0.1243 0.7684 0.6319
Pa1 Pa 0.0000 0.5000 0.2500
N1 N 0.0394 0.5869 0.9611
N2 N 0.0868 0.8063 0.2723
```


[9]
K2CaI: optimized geometry, PBE.

uncorrected formation energy: -503 meV per atom
energy above the most stable polymorph in this dataset: 0 meV/atom
raw total energy: -1.940 eV/atom

CIF file:
```
data_K2CaI
_chemical_formula_sum 'K6 Ca3 I3'
_symmetry_space_group_name_H-M 'R -3 m'
_symmetry_Int_Tables_number 166
_symmetry_space_group_name_Hall '-R 3 2"'
_cell_length_a 4.3960
_cell_length_b 4.3960
_cell_length_c 38.0264
_cell_angle_alpha 90.00
_cell_angle_beta 90.00
_cell_angle_gamma 120.00
loop_
_atom_site_label
_atom_site_type_symbol
_atom_site_fract_x
_atom_site_fract_y
_atom_site_fract_z
K1 K 0.0000 0.0000 0.1044
Ca1 Ca 0.0000 0.0000 0.0000
I1 I 0.0000 0.0000 0.5000
```


[10]
CaAcNdGd: optimized geometry, PBE.

formation energy: 0.1029 eV per atom
raw total energy: -6.137 eV/atom

CIF file:
```
data_CaAcNdGd
_chemical_formula_sum 'Ca4 Ac4 Nd4 Gd4'
_symmetry_space_group_name_H-M 'F -4 3 m'
_symmetry_Int_Tables_number 216
_symmetry_space_group_name_Hall 'F -4 2 3'
_cell_length_a 8.4805
_cell_length_b 8.4805
_cell_length_c 8.4805
_cell_angle_alpha 90.00
_cell_angle_beta 90.00
_cell_angle_gamma 90.00
loop_
_atom_site_label
_atom_site_type_symbol
_atom_site_fract_x
_atom_site_fract_y
_atom_site_fract_z
Ca1 Ca 0.0000 0.0000 0.0000
Ac1 Ac 0.2500 0.2500 0.7500
Nd1 Nd 0.2500 0.2500 0.2500
Gd1 Gd 0.0000 0.0000 0.5000
```


[11]
MgTl2Bi: optimized geometry, PBE.

formation energy: -0.0100 eV per atom
raw total energy: -2.562 eV/atom

CIF file:
```
data_MgTl2Bi
_chemical_formula_sum 'Mg3 Tl6 Bi3'
_symmetry_space_group_name_H-M 'R 3 m'
_symmetry_Int_Tables_number 160
_symmetry_space_group_name_Hall 'R 3 -2"'
_cell_length_a 4.9880
_cell_length_b 4.9880
_cell_length_c 17.7267
_cell_angle_alpha 90.00
_cell_angle_beta 90.00
_cell_angle_gamma 120.00
loop_
_atom_site_label
_atom_site_type_symbol
_atom_site_fract_x
_atom_site_fract_y
_atom_site_fract_z
Mg1 Mg 0.0000 0.0000 0.0000
Tl1 Tl 0.0000 0.0000 0.2536
Tl2 Tl 0.0000 0.0000 0.4888
Bi1 Bi 0.0000 0.0000 0.7151
```


[12]
Y8ZnRu2: optimized geometry, PBE.

formation energy: -0.1633 eV per atom
raw total energy: -6.667 eV/atom

CIF file:
```
data_Y8ZnRu2
_chemical_formula_sum 'Y16 Zn2 Ru4'
_symmetry_space_group_name_H-M 'C 1 m 1'
_symmetry_Int_Tables_number 8
_cell_length_a 8.6927
_cell_length_b 12.9674
_cell_length_c 5.5401
_cell_angle_alpha 90.00
_cell_angle_beta 104.25
_cell_angle_gamma 90.00
loop_
_symmetry_equiv_pos_as_xyz
'x,y,z'
'x,-y,z'
'x+1/2,y+1/2,z'
'x+1/2,-y+1/2,z'
loop_
_atom_site_label
_atom_site_type_symbol
_atom_site_fract_x
_atom_site_fract_y
_atom_site_fract_z
Y1 Y 0.0000 0.0000 0.0000
Y2 Y 0.0746 0.3683 0.7814
Y3 Y 0.1775 0.1321 0.6083
Y4 Y 0.2550 0.5000 0.3908
Y5 Y 0.3759 0.2413 0.1947
Zn1 Zn 0.3783 0.0000 0.1877
Ru1 Ru 0.3765 0.3120 0.6957
```